<i>
Here is an optimized crystal structure of CuAsH from Alexandria. Energies are from GGA-PBE.

```
CuAsH
1.0
3.5033 0.0000 0.0000
0.0000 3.5033 0.0000
-1.7516 -1.7516 3.7134
H As Cu
1 1 1
direct
0.2733 0.2733 0.5466 H
0.0586 0.0586 0.1171 As
0.5181 0.5181 0.0363 Cu
```

Values from the calculation:
- magnetization (μB per formula unit) = 0.0
- SG = I4mm, No. 107

=====

<ii>
Here is an optimized crystal structure of CuAsH from Alexandria. Energies are from GGA-PBE.

```
CuAsH
1.0
-1.0039 -1.8968 -1.8752
-1.3464 -2.4136 3.1608
-7.0900 -0.0498 3.8457
Cu As H
2 2 2
direct
0.0240 0.9897 0.1521 Cu
0.5229 0.2945 0.5193 Cu
0.5232 0.5639 0.0947 As
0.0227 0.7199 0.5770 As
0.0228 0.3799 0.8396 H
0.5228 0.9042 0.8322 H
```

Values from the calculation:
- magnetization (μB per formula unit) = 0.0
- SG = P2_1/m, No. 11

=====

The winner here is <ii>, beating the second structure by 57 meV/atom.

=====

<i>
Here is an optimized crystal structure of Cu2NiAsH from Alexandria. Energies are from GGA-PBE.

```
Cu2NiAsH
1.0
-2.1738 0.8119 2.9716
2.1306 -2.2306 2.1680
2.2274 2.9325 0.8282
Ni As Cu H
1 1 2 1
direct
0.0000 0.0000 0.5000 Ni
0.5000 0.5000 0.5000 As
0.0000 0.5000 0.0000 Cu
0.5000 0.0000 0.0000 Cu
0.0000 0.0000 0.0000 H
```

Values from the calculation:
- magnetization (μB per formula unit) = 0.0
- SG = P4/mmm, No. 123

=====

<ii>
Here is an optimized crystal structure of Cu2NiAsH from Alexandria. Energies are from GGA-PBE.

```
Cu2NiAsH
1.0
3.5661 0.0000 0.0000
0.0000 4.3476 0.0000
0.0000 0.0000 3.5661
Ni As Cu H
1 1 2 1
direct
0.5000 0.5000 0.5000 Ni
0.0000 0.5000 0.0000 As
0.0000 0.0000 0.5000 Cu
0.5000 0.0000 0.0000 Cu
0.0000 0.0000 0.0000 H
```

Values from the calculation:
- magnetization (μB per formula unit) = 0.0
- SG = P4/mmm, No. 123

=====

The winner here is <i>, beating the second structure by 124 meV/atom.

=====

<i>
Here is an optimized crystal structure of Hf2Cu2As from Alexandria. Energies are from GGA-PBE.

```
Hf2Cu2As
1.0
-0.1235 6.3380 -2.9072
-5.8672 -1.6657 -3.3821
-2.0826 1.3187 2.9634
As Hf Cu
2 4 4
direct
0.0000 0.0000 0.0000 As
0.5000 0.5000 0.0000 As
0.3360 0.8360 0.0000 Hf
0.8360 0.6640 0.0000 Hf
0.6640 0.1640 0.0000 Hf
0.1640 0.3360 0.0000 Hf
0.1266 0.6266 0.5000 Cu
0.6266 0.8734 0.5000 Cu
0.8734 0.3734 0.5000 Cu
0.3734 0.1266 0.5000 Cu
```

Values from the calculation:
- magnetization (μB per formula unit) = 0.0
- SG = P4/mbm, No. 127

=====

<ii>
Here is an optimized crystal structure of Hf2Cu2As from Alexandria. Energies are from GGA-PBE.

```
Hf2Cu2As
1.0
-4.7238 -1.8273 -3.9680
2.1878 -6.0481 0.1808
-2.3787 -0.7653 3.1842
As Hf Cu
2 4 4
direct
0.0000 0.0000 0.0000 As
0.5000 0.5000 0.0000 As
0.1659 0.6659 0.5000 Hf
0.6659 0.8341 0.5000 Hf
0.8341 0.3341 0.5000 Hf
0.3341 0.1659 0.5000 Hf
0.3697 0.8697 0.0000 Cu
0.8697 0.6303 0.0000 Cu
0.6303 0.1303 0.0000 Cu
0.1303 0.3697 0.0000 Cu
```

Values from the calculation:
- magnetization (μB per formula unit) = 0.0
- SG = P4/mbm, No. 127

=====

The winner here is <ii>, beating the second structure by 139 meV/atom.